# 1
# CuWSe2, relaxed, DFT PBEsol
data_CuWSe2
_space_group_name_H-M_alt 'P 1'
_space_group_IT_number 1
_cell_length_a 3.131
_cell_length_b 3.131
_cell_length_c 6.290
_cell_angle_alpha 90.00
_cell_angle_beta 90.00
_cell_angle_gamma 90.00
loop_
_space_group_symop_operation_xyz
'x,y,z'
loop_
_atom_site_label
_atom_site_fract_x
_atom_site_fract_y
_atom_site_fract_z
_atom_site_occupancy
Cu1 0.000 0.000 0.000 1
W1 0.000 0.000 0.500 1
Se1 0.500 0.500 0.259 1
Se2 0.500 0.500 0.741 1
# formation energy (no corrections): 0.13 eV/atom
# Fermi-level density of states: 1.65 states/eV per cell
# magnetic moment: 0.000 μB/f.u.


# 2
# Zr2CdSb, relaxed, DFT PBEsol
data_Zr2CdSb
_space_group_name_H-M_alt 'P 1'
_space_group_IT_number 1
_cell_length_a 9.969
_cell_length_b 9.969
_cell_length_c 9.969
_cell_angle_alpha 18.51
_cell_angle_beta 18.51
_cell_angle_gamma 18.51
loop_
_space_group_symop_operation_xyz
'x,y,z'
loop_
_atom_site_label
_atom_site_fract_x
_atom_site_fract_y
_atom_site_fract_z
_atom_site_occupancy
Zr1 0.249 0.249 0.249 1
Zr2 0.751 0.751 0.751 1
Cd1 0.000 0.000 0.000 1
Sb1 0.500 0.500 0.500 1
# formation energy (no corrections): -0.17 eV/atom
# Fermi-level density of states: 2.61 states/eV per cell
# magnetic moment: 0.000 μB/f.u.


# 3
# SrHf2B, relaxed, DFT PBEsol
data_SrHf2B
_space_group_name_H-M_alt 'P 1'
_space_group_IT_number 1
_cell_length_a 6.954
_cell_length_b 6.954
_cell_length_c 6.954
_cell_angle_alpha 60.00
_cell_angle_beta 60.00
_cell_angle_gamma 60.00
loop_
_space_group_symop_operation_xyz
'x,y,z'
loop_
_atom_site_label
_atom_site_fract_x
_atom_site_fract_y
_atom_site_fract_z
_atom_site_occupancy
Sr1 0.125 0.125 0.125 1
Sr2 0.875 0.875 0.875 1
Hf1 0.000 0.500 0.500 1
Hf2 0.500 0.000 0.500 1
Hf3 0.500 0.500 0.000 1
Hf4 0.500 0.500 0.500 1
B1 0.375 0.375 0.375 1
B2 0.625 0.625 0.625 1
# calculated formation energy: 3.02 eV per formula unit
# Fermi-level density of states: 11.16 states/eV per cell
# magnetic moment: 0.002 μB/f.u.


# 4
# SrH16O10, relaxed, DFT PBEsol
data_SrH16O10
_space_group_name_H-M_alt 'P 1'
_space_group_IT_number 1
_cell_length_a 6.094
_cell_length_b 6.440
_cell_length_c 6.638
_cell_angle_alpha 76.41
_cell_angle_beta 80.04
_cell_angle_gamma 76.62
loop_
_space_group_symop_operation_xyz
'x,y,z'
loop_
_atom_site_label
_atom_site_fract_x
_atom_site_fract_y
_atom_site_fract_z
_atom_site_occupancy
Sr1 0.000 0.000 0.000 1
H1 0.263 0.151 0.314 1
H2 0.274 0.325 0.986 1
H3 0.280 0.674 0.692 1
H4 0.296 0.741 0.375 1
H5 0.302 0.381 0.366 1
H6 0.307 0.362 0.729 1
H7 0.440 0.866 0.191 1
H8 0.442 0.743 0.808 1
H9 0.558 0.257 0.192 1
H10 0.560 0.134 0.809 1
H11 0.693 0.638 0.271 1
H12 0.698 0.619 0.634 1
H13 0.704 0.259 0.625 1
H14 0.720 0.326 0.308 1
H15 0.726 0.675 0.014 1
H16 0.737 0.849 0.686 1
O1 0.275 0.306 0.255 1
O2 0.275 0.756 0.805 1
O3 0.281 0.252 0.868 1
O4 0.281 0.885 0.266 1
O5 0.375 0.510 0.515 1
O6 0.625 0.490 0.485 1
O7 0.719 0.115 0.734 1
O8 0.719 0.748 0.132 1
O9 0.725 0.244 0.195 1
O10 0.725 0.694 0.745 1
# Fermi-level density of states: 0.00 states/eV per cell
# offset from the most stable computed form: 32.5 meV/atom
# magnetic moment: 0.090 μB/f.u.


# 5
# YAgSb2, relaxed, DFT PBEsol
data_YAgSb2
_space_group_name_H-M_alt 'P 1'
_space_group_IT_number 1
_cell_length_a 5.138
_cell_length_b 5.138
_cell_length_c 5.138
_cell_angle_alpha 60.00
_cell_angle_beta 60.00
_cell_angle_gamma 60.00
loop_
_space_group_symop_operation_xyz
'x,y,z'
loop_
_atom_site_label
_atom_site_fract_x
_atom_site_fract_y
_atom_site_fract_z
_atom_site_occupancy
Y1 0.000 0.000 0.000 1
Ag1 0.500 0.500 0.500 1
Sb1 0.250 0.250 0.250 1
Sb2 0.750 0.750 0.750 1
# formation energy (no corrections): -0.30 eV/atom
# Fermi-level density of states: 3.79 states/eV per cell
# magnetic moment: 0.000 μB/f.u.


# 6
# K2CuBiI6, relaxed, DFT PBEsol
data_K2CuBiI6
_space_group_name_H-M_alt 'P 1'
_space_group_IT_number 1
_cell_length_a 8.209
_cell_length_b 8.209
_cell_length_c 8.209
_cell_angle_alpha 60.00
_cell_angle_beta 60.00
_cell_angle_gamma 60.00
loop_
_space_group_symop_operation_xyz
'x,y,z'
loop_
_atom_site_label
_atom_site_fract_x
_atom_site_fract_y
_atom_site_fract_z
_atom_site_occupancy
K1 0.250 0.250 0.250 1
K2 0.750 0.750 0.750 1
Cu1 0.000 0.000 0.000 1
Bi1 0.500 0.500 0.500 1
I1 0.238 0.238 0.762 1
I2 0.238 0.762 0.238 1
I3 0.238 0.762 0.762 1
I4 0.762 0.238 0.238 1
I5 0.762 0.238 0.762 1
I6 0.762 0.762 0.238 1
# formation energy (no corrections): -0.70 eV/atom
# Fermi-level density of states: 0.31 states/eV per cell
# magnetic moment: 0.000 μB/f.u.


# 7
# Sr3Nb, relaxed, DFT PBEsol
data_Sr3Nb
_space_group_name_H-M_alt 'P 1'
_space_group_IT_number 1
_cell_length_a 5.948
_cell_length_b 5.948
_cell_length_c 5.948
_cell_angle_alpha 121.36
_cell_angle_beta 121.36
_cell_angle_gamma 87.67
loop_
_space_group_symop_operation_xyz
'x,y,z'
loop_
_atom_site_label
_atom_site_fract_x
_atom_site_fract_y
_atom_site_fract_z
_atom_site_occupancy
Sr1 0.000 0.000 0.000 1
Sr2 0.250 0.750 0.500 1
Sr3 0.750 0.250 0.500 1
Nb1 0.500 0.500 0.000 1
# calculated formation energy: 3.10 eV per formula unit
# Fermi-level density of states: 3.05 states/eV per cell
# magnetic moment: 3.029 μB/f.u.


# 8
# AlCoCu2H, relaxed, DFT PBEsol
data_AlCoCu2H
_space_group_name_H-M_alt 'P 1'
_space_group_IT_number 1
_cell_length_a 4.565
_cell_length_b 4.565
_cell_length_c 2.961
_cell_angle_alpha 90.00
_cell_angle_beta 90.00
_cell_angle_gamma 90.00
loop_
_space_group_symop_operation_xyz
'x,y,z'
loop_
_atom_site_label
_atom_site_fract_x
_atom_site_fract_y
_atom_site_fract_z
_atom_site_occupancy
Al1 0.000 0.000 0.000 1
Co1 0.500 0.500 0.500 1
Cu1 0.000 0.500 0.000 1
Cu2 0.500 0.000 0.000 1
H1 0.000 0.000 0.500 1
# calculated total energy: -3.916 eV/atom
# Fermi-level density of states: 3.70 states/eV per cell
# magnetic moment: 1.581 μB/f.u.